# KCoSnF6

A relaxed KCoSnF6 crystal (GGA+U, the Alexandria database).

Structure (POSCAR):
```
KCoSnF6
1.0
-2.787 4.589 -1.694
-1.713 0.276 -5.785
-4.018 -1.912 1.401
F Sn K Co
6 1 1 1
Cartesian
-4.299 -0.254 -2.976
-3.547 -0.571 -0.282
-4.977 1.797 -1.171
-1.696 -0.237 -2.229
-3.166 2.202 -3.141
-2.371 1.806 -0.590
-3.131 4.207 -2.143
-5.801 1.828 -4.219
-3.369 0.755 -1.777
```

Computed properties:
As for the calculated total energy: -0.17140 Ha/atom.